1.
The following is a PBE-GGA calculation of a relaxed BaAg2Ir crystal, from Alexandria via LeMat-Bulk.

Calculated values
Polymorph energy (0 for the lowest one)   288 meV/atom

Cell lengths 4.4154, 4.4154, 4.5887 Å; angles 90.00, 90.00, 90.00 degrees
Atoms (fractional coordinates):
Ag1 0.5000 0.5000 0.0000
Ag2 0.0000 0.0000 0.0000
Ba1 0.5000 0.0000 0.5000
Ir1 0.0000 0.5000 0.5000

2.
The following is a PBE-GGA calculation of a relaxed BaAgIr crystal, from Alexandria via LeMat-Bulk.

Calculated values
Polymorph energy (0 for the lowest one)   1105 meV/atom

Cell lengths 5.0232, 5.0232, 5.0232 Å; angles 60.00, 60.00, 60.00 degrees
Atoms (fractional coordinates):
Ag1 0.5000 0.5000 0.5000
Ir1 0.0000 0.0000 0.0000
Ba1 0.7500 0.7500 0.7500

3.
The following is a PBE-GGA calculation of a relaxed BaAg2Ir crystal, from Alexandria via LeMat-Bulk.

Calculated values
Polymorph energy (0 for the lowest one)   236 meV/atom

Cell lengths 4.9375, 4.9375, 10.0264 Å; angles 75.75, 75.75, 90.00 degrees
Atoms (fractional coordinates):
Ag1 0.9676 0.6250 0.2500
Ag2 0.8750 0.0324 0.7500
Ag3 0.7824 0.1250 0.2500
Ag4 0.3750 0.2176 0.7500
Ir1 0.7500 0.2500 0.5000
Ir2 0.0000 0.0000 0.0000
Ba1 0.5000 0.5000 0.0000
Ba2 0.2500 0.7500 0.5000

4.
The following is a PBE-GGA calculation of a relaxed BaAgIr crystal, from Alexandria via LeMat-Bulk.

Calculated values
Polymorph energy (0 for the lowest one)   0 meV/atom

Cell lengths 4.5494, 6.1424, 6.7336 Å; angles 73.17, 70.27, 90.05 degrees
Atoms (fractional coordinates):
Ba1 0.6121 0.3056 0.2756
Ba2 0.3879 0.6944 0.7244
Ag1 0.9077 0.2928 0.6852
Ag2 0.0923 0.7071 0.3148
Ir1 0.2776 0.0770 0.9449
Ir2 0.7224 0.9230 0.0551

5.
The following is a PBE-GGA calculation of a relaxed BaAgIr crystal, from Alexandria via LeMat-Bulk.

Calculated values
Polymorph energy (0 for the lowest one)   414 meV/atom

Cell lengths 6.0341, 6.0343, 3.7300 Å; angles 71.99, 72.00, 36.01 degrees
Atoms (fractional coordinates):
Ir1 0.6222 0.6222 0.3778
Ba1 0.3301 0.3301 0.6699
Ag1 0.0477 0.0477 0.9523

6.
The following is a PBE-GGA calculation of a relaxed BaAgIr3 crystal, from Alexandria via LeMat-Bulk.

Calculated values
Polymorph energy (0 for the lowest one)   0 meV/atom

Cell lengths 4.9683, 4.9683, 4.9683 Å; angles 90.00, 90.00, 90.00 degrees
Atoms (fractional coordinates):
Ir1 0.0000 0.0000 0.5000
Ir2 0.5000 0.0000 0.0000
Ir3 0.0000 0.5000 0.0000
Ba1 0.5000 0.5000 0.5000
Ag1 0.0000 0.0000 0.0000

7.
The following is a PBE-GGA calculation of a relaxed BaAgIr crystal, from Alexandria via LeMat-Bulk.

Calculated values
Polymorph energy (0 for the lowest one)   260 meV/atom

Cell lengths 4.5394, 4.5394, 4.6212 Å; angles 90.00, 90.00, 120.00 degrees
Atoms (fractional coordinates):
Ag1 0.0000 0.0000 0.8333
Ba1 0.6667 0.3333 0.3333
Ir1 0.3333 0.6667 0.8334

8.
The following is a PBE-GGA calculation of a relaxed Ba8AgIr2 crystal, from Alexandria via LeMat-Bulk.

Calculated values
E_tot   -3.236 eV/atom

Cell lengths 7.3576, 9.7574, 9.7431 Å; angles 120.13, 89.97, 90.01 degrees
Atoms (fractional coordinates):
Ba1 0.2487 0.6609 0.8298
Ba2 0.7512 0.8299 0.6606
Ba3 0.7478 0.3334 0.6678
Ba4 0.2488 0.1701 0.3394
Ba5 0.2522 0.6666 0.3322
Ba6 0.2487 0.1690 0.8302
Ba7 0.7513 0.3391 0.1702
Ba8 0.7513 0.8310 0.1698
Ir1 0.8591 0.6666 0.3325
Ir2 0.1409 0.3334 0.6675
Ag1 0.0000 0.0000 0.0000

9.
The following is a PBE-GGA calculation of a relaxed Ba5Ag2Ir crystal, from Alexandria via LeMat-Bulk.

Calculated values
E_tot   -3.199 eV/atom

Cell lengths 7.8424, 8.8502, 10.5964 Å; angles 96.78, 111.72, 90.00 degrees
Atoms (fractional coordinates):
Ba1 0.9195 0.2500 0.0000
Ba2 0.5165 0.5740 0.7943
Ba3 0.2778 0.0740 0.7943
Ba4 0.0805 0.7500 0.0000
Ba5 0.8586 0.6963 0.5673
Ba6 0.1414 0.3037 0.4327
Ba7 0.4835 0.4260 0.2057
Ba8 0.7086 0.1963 0.5673
Ba9 0.2914 0.8037 0.4327
Ba10 0.7222 0.9260 0.2057
Ir1 0.5000 0.5000 0.5000
Ir2 0.0000 0.0000 0.5000
Ag1 0.8986 0.5711 0.2009
Ag2 0.3023 0.0711 0.2009
Ag3 0.1014 0.4289 0.7991
Ag4 0.6977 0.9289 0.7991

10.
The following is a PBE-GGA calculation of a relaxed BaAg2Ir crystal, from Alexandria via LeMat-Bulk.

Calculated values
Polymorph energy (0 for the lowest one)   242 meV/atom

Cell lengths 4.2700, 3.9966, 6.2948 Å; angles 71.62, 90.00, 90.00 degrees
Atoms (fractional coordinates):
Ba1 0.0000 0.5213 0.5806
Ag1 0.5000 0.2596 0.1068
Ag2 0.0000 0.7907 0.0454
Ir1 0.5000 0.9283 0.7672

For each record above, in turn, the calculated DOS at the Fermi energy values are 2.398 4.199 3.274 2.929 1.220 8.789 1.014 7.603 9.930 3.095 states/eV/cell.